CrGe3O PBE with a Hubbard U optimized geometry; space group = Pm-3m; DFT total energy = -4.461 eV/atom; distance to the lowest polymorph of the same formula = 253 meV/atom
1.0
4.641 0.000 0.000
0.000 4.641 0.000
0.000 0.000 4.641
Cr Ge O
1 3 1
direct
0.000 0.000 0.000
0.000 0.000 0.500
0.000 0.500 0.000
0.500 0.000 0.000
0.500 0.500 0.500